First-principles (PBE) data for crystalline KCd11Ga at its relaxed geometry, as listed in the Alexandria database.

Results
Energy of formation, eV per formula unit: -0.368

Cell lengths 5.9527, 7.8474, 7.7689 Å; angles 81.84, 67.47, 68.25 degrees
Fractional coordinates of all 13 atoms:
Cd: 0.0000 0.5000 0.0000
Ga: 0.5000 0.5000 0.0000
K: 0.0000 0.0000 0.0000
Cd: 0.7128 0.7799 0.7848
Cd: 0.5000 0.0000 0.5000
Cd: 0.6408 0.3566 0.3516
Cd: 0.4975 0.7799 0.2152
Cd: 0.0000 0.0000 0.5000
Cd: 0.0075 0.6434 0.3516
Cd: 0.9925 0.3566 0.6484
Cd: 0.2872 0.2201 0.2152
Cd: 0.3592 0.6434 0.6484
Cd: 0.5025 0.2201 0.7848